Entry 1:
Entry from the Alexandria database: an optimized crystal structure of CeCdIO6 (PBE).

Cell: 5.737 5.737 9.342 Å, 90.00 90.00 120.00°
Positions (direct):
Ce (0.333, 0.667, 0.250)
Ce (0.667, 0.333, 0.750)
Cd (0.000, 0.000, 0.000)
Cd (0.000, 0.000, 0.500)
I (0.333, 0.667, 0.750)
I (0.667, 0.333, 0.250)
O (0.039, 0.377, 0.634)
O (0.039, 0.662, 0.866)
O (0.338, 0.377, 0.866)
O (0.338, 0.961, 0.634)
O (0.377, 0.039, 0.134)
O (0.377, 0.338, 0.366)
O (0.623, 0.662, 0.634)
O (0.623, 0.961, 0.866)
O (0.662, 0.039, 0.366)
O (0.662, 0.623, 0.134)
O (0.961, 0.338, 0.134)
O (0.961, 0.623, 0.366)

Output
- Calculated volume: 14.79 Å³ per atom
- D(E_F): 0.59 states/eV/atom
- Total DFT energy (no corrections): -5.59 eV per atom
- Symmetry: P-31c (163)

Entry 2:
Entry from the Alexandria database: an optimized crystal structure of Ce4Cd3In (PBE).

Cell: 10.566 6.391 5.952 Å, 90.00 90.00 90.00°
Positions (direct):
Ce (0.000, 0.240, 0.000)
Ce (0.000, 0.760, 0.000)
Ce (0.250, 0.276, 0.275)
Ce (0.250, 0.724, 0.275)
Ce (0.500, 0.240, 0.000)
Ce (0.500, 0.760, 0.000)
Ce (0.750, 0.276, 0.725)
Ce (0.750, 0.724, 0.725)
Cd (0.000, 0.500, 0.500)
Cd (0.250, 0.000, 0.780)
Cd (0.250, 0.500, 0.778)
Cd (0.500, 0.500, 0.500)
Cd (0.750, 0.000, 0.220)
Cd (0.750, 0.500, 0.222)
In (0.000, 0.000, 0.500)
In (0.500, 0.000, 0.500)

Output
- ΔH_f (0 K): -216 meV per atom
- Calculated volume: 25.12 Å³ per atom
- D(E_F): 2.31 states/eV/atom
- Symmetry: Pmma (51)

Entry 3:
Entry from the Alexandria database: an optimized crystal structure of Ce6CdIn (PBE).

Cell: 4.801 4.801 9.585 Å, 90.00 90.00 90.00°
Positions (direct):
Ce (0.000, 0.000, 0.000)
Ce (0.000, 0.000, 0.500)
Ce (0.000, 0.500, 0.249)
Ce (0.000, 0.500, 0.751)
Ce (0.500, 0.000, 0.249)
Ce (0.500, 0.000, 0.751)
Cd (0.500, 0.500, 0.500)
In (0.500, 0.500, 0.000)

Output
- ΔH_f (0 K): -100 meV per atom
- Calculated volume: 27.61 Å³ per atom
- D(E_F): 3.25 states/eV/atom
- Symmetry: P4/mmm (123)

Entry 4:
Entry from the Alexandria database: an optimized crystal structure of Ce2Cd3In (PBE).

Cell: 10.242 9.473 6.113 Å, 78.94 65.20 35.86°
Positions (direct):
Ce (0.213, 0.787, 0.787)
Ce (0.250, 0.250, 0.250)
Ce (0.750, 0.750, 0.750)
Ce (0.787, 0.213, 0.213)
Cd (0.168, 0.168, 0.832)
Cd (0.173, 0.662, 0.338)
Cd (0.338, 0.827, 0.173)
Cd (0.662, 0.173, 0.827)
Cd (0.827, 0.338, 0.662)
Cd (0.832, 0.832, 0.168)
In (0.336, 0.336, 0.664)
In (0.664, 0.664, 0.336)

Output
- ΔH_f (0 K): -290 meV per atom
- Calculated volume: 25.24 Å³ per atom
- D(E_F): 2.06 states/eV/atom
- Symmetry: Fmmm (69)

Entry 5:
Entry from the Alexandria database: an optimized crystal structure of CeCdIn2 (PBE).

Cell: 3.702 3.702 7.637 Å, 90.00 90.00 90.00°
Positions (direct):
Ce (0.000, 0.000, 0.000)
Cd (0.000, 0.000, 0.500)
In (0.500, 0.500, 0.280)
In (0.500, 0.500, 0.720)

Output
- ΔH_f (0 K): -171 meV per atom
- Calculated volume: 26.16 Å³ per atom
- D(E_F): 1.85 states/eV/atom
- Symmetry: P4/mmm (123)

Entry 6:
Entry from the Alexandria database: an optimized crystal structure of CeCdIn3 (PBE).

Cell: 5.572 5.577 6.153 Å, 66.92 67.18 80.92°
Positions (direct):
Ce (0.000, 0.000, 0.000)
Cd (0.500, 0.500, 0.500)
In (0.000, 0.500, 0.500)
In (0.500, 0.000, 0.500)
In (0.500, 0.500, 0.000)

Output
- ΔH_f (0 K): 159 meV per atom
- Calculated volume: 32.43 Å³ per atom
- D(E_F): 2.06 states/eV/atom
- Symmetry: P-1 (2)

Entry 7:
Entry from the Alexandria database: an optimized crystal structure of Ce2Cd3In2 (PBE).

Cell: 12.131 12.131 3.163 Å, 90.00 90.00 157.39°
Positions (direct):
Ce (0.146, 0.854, 0.000)
Ce (0.854, 0.146, 0.000)
Cd (0.000, 0.000, 0.000)
Cd (0.434, 0.566, 0.500)
Cd (0.566, 0.434, 0.500)
In (0.286, 0.714, 0.500)
In (0.714, 0.286, 0.500)

Output
- ΔH_f (0 K): -190 meV per atom
- Calculated volume: 25.56 Å³ per atom
- D(E_F): 1.91 states/eV/atom
- Symmetry: Cmmm (65)

Entry 8:
Entry from the Alexandria database: an optimized crystal structure of CeCd6In2 (PBE).

Cell: 5.028 5.028 10.023 Å, 90.00 90.00 120.00°
Positions (direct):
Ce (0.000, 0.000, 0.000)
Cd (0.000, 0.000, 0.343)
Cd (0.000, 0.000, 0.657)
Cd (0.333, 0.667, 0.485)
Cd (0.333, 0.667, 0.813)
Cd (0.667, 0.333, 0.187)
Cd (0.667, 0.333, 0.515)
In (0.333, 0.667, 0.166)
In (0.667, 0.333, 0.834)

Output
- ΔH_f (0 K): -124 meV per atom
- Calculated volume: 24.39 Å³ per atom
- D(E_F): 0.81 states/eV/atom
- Symmetry: P-3m1 (164)